VASP calculation (PBE) on ThCdIrRh after structural relaxation.

Cell lengths 4.839, 4.839, 4.839 Å; angles 60.00, 60.00, 60.00 degrees
Atoms (fractional coordinates):
Th 0.000 0.000 0.000
Cd 0.500 0.500 0.500
Ir 0.250 0.250 0.250
Rh 0.750 0.750 0.750

Output
Energy of formation from the pure elements in meV/atom: -513
Total moment in μB/f.u.: 0.0
VASP energy in eV per atom: -6.650


VASP calculation (PBE) on LaTaHN2 after structural relaxation.

Cell lengths 4.155, 4.155, 3.691 Å; angles 90.00, 90.00, 90.00 degrees
Atoms (fractional coordinates):
La 0.000 0.000 0.000
Ta 0.500 0.500 0.500
H 0.500 0.500 0.000
N 0.000 0.500 0.500
N 0.500 0.000 0.500

Output
E above lowest polymorph in eV/atom: 0.004
Total moment in μB/f.u.: 0.0
VASP energy in eV per atom: -8.423


VASP calculation (PBE) on TbNdAl after structural relaxation.

Cell lengths 4.789, 4.789, 7.684 Å; angles 90.00, 90.00, 90.00 degrees
Atoms (fractional coordinates):
Tb 0.250 0.250 0.243
Tb 0.750 0.750 0.757
Nd 0.250 0.250 0.714
Nd 0.750 0.750 0.286
Al 0.250 0.750 0.000
Al 0.750 0.250 0.000

Output
E above lowest polymorph in eV/atom: 0.134
Energy of formation from the pure elements in meV/atom: -91
Total moment in μB/f.u.: 0.0
VASP energy in eV per atom: -4.471


VASP calculation (PBE) on NpBeCoP2 after structural relaxation.

Cell lengths 6.042, 6.042, 6.042 Å; angles 145.83, 145.83, 49.10 degrees
Atoms (fractional coordinates):
Np 0.000 0.000 0.000
Be 0.750 0.250 0.500
Co 0.250 0.750 0.500
P 0.371 0.371 0.000
P 0.629 0.629 0.000

Output
Energy of formation from the pure elements in meV/atom: -657
Total moment in μB/f.u.: 3.4
VASP energy in eV per atom: -7.576


VASP calculation (PBE) on MnReTc2 after structural relaxation.

Cell lengths 4.667, 4.667, 4.701 Å; angles 99.61, 99.61, 33.85 degrees
Atoms (fractional coordinates):
Mn 0.000 0.000 0.000
Re 0.746 0.746 0.241
Tc 0.253 0.253 0.754
Tc 0.500 0.500 0.502

Output
Energy of formation from the pure elements in meV/atom: 103
Total moment in μB/f.u.: 1.2
VASP energy in eV per atom: -10.485


VASP calculation (PBE) on K2Ge2F7 after structural relaxation.

Cell lengths 7.060, 7.060, 5.202 Å; angles 105.91, 105.91, 107.39 degrees
Atoms (fractional coordinates):
K 0.178 0.822 0.000
K 0.822 0.178 0.000
Ge 0.348 0.348 0.726
Ge 0.652 0.652 0.274
F 0.116 0.391 0.812
F 0.151 0.151 0.358
F 0.391 0.116 0.812
F 0.500 0.500 0.500
F 0.609 0.884 0.188
F 0.849 0.849 0.642
F 0.884 0.609 0.188

Output
Formation energy without anion corrections in eV/atom: -2.4148
Total moment in μB/f.u.: 0.0
VASP energy in eV per atom: -4.645


VASP calculation (PBE) on PrSc3Os after structural relaxation.

Cell lengths 5.117, 5.117, 5.117 Å; angles 90.00, 90.00, 90.00 degrees
Atoms (fractional coordinates):
Pr 0.000 0.000 0.000
Sc 0.000 0.500 0.500
Sc 0.500 0.000 0.500
Sc 0.500 0.500 0.000
Os 0.500 0.500 0.500

Output
Energy of formation from the pure elements in meV/atom: -99
Total moment in μB/f.u.: 0.0
VASP energy in eV per atom: -7.100


VASP calculation (PBE) on Er4MgGa2 after structural relaxation.

Cell lengths 7.760, 6.464, 7.978 Å; angles 90.00, 112.11, 90.00 degrees
Atoms (fractional coordinates):
Er 0.016 0.250 0.377
Er 0.210 0.750 0.334
Er 0.399 0.005 0.746
Er 0.399 0.495 0.746
Er 0.601 0.505 0.254
Er 0.601 0.995 0.254
Er 0.790 0.250 0.666
Er 0.984 0.750 0.623
Mg 0.183 0.250 0.032
Mg 0.817 0.750 0.968
Ga 0.260 0.750 0.993
Ga 0.391 0.250 0.417
Ga 0.609 0.750 0.583
Ga 0.740 0.250 0.007

Output
Energy of formation from the pure elements in meV/atom: -230
Total moment in μB/f.u.: 0.0
VASP energy in eV per atom: -3.930